[1]
A plane-wave DFT calculation with PBE was carried out for a relaxed structure of LiDy2Ag6.

Cell lengths 5.223, 15.584, 5.219 Å; angles 90.00, 119.40, 90.00 degrees
Space group C2/m (No. 12)
Asymmetric unit:
1 Li 0.000 0.000 0.000 (multiplicity 2)
2 Dy 0.000 0.164 0.500 (multiplicity 4)
3 Ag 0.149 0.500 0.316 (multiplicity 4)
4 Ag 0.169 0.336 0.837 (multiplicity 8)

Output
As for the magnetic moment: 0.00 μB per atom. For the total energy, the calculation gives -3.32 eV/atom. The energy above the most stable polymorph in this dataset comes out at 0 kJ/mol of formula units. As for the energy of formation from the pure elements: -18 kJ/mol of atoms.

[2]
A plane-wave DFT calculation with PBE was carried out for a relaxed structure of Mg2ReSiI.

Cell lengths 5.281, 5.281, 4.894 Å; angles 90.00, 90.00, 90.00 degrees
Space group P4/mmm (No. 123)
Asymmetric unit:
1 Mg 0.000 0.500 0.000 (multiplicity 2)
2 Re 0.000 0.000 0.500 (multiplicity 1)
3 Si 0.500 0.500 0.500 (multiplicity 1)
4 I 0.000 0.000 0.000 (multiplicity 1)

Output
The value obtained for the formation energy without anion corrections is 1.760 eV/atom. As for the magnetic moment: 0.00 μB per atom. For the total energy, the calculation gives -2.76 eV/atom.

[3]
A plane-wave DFT calculation with PBE was carried out for a relaxed structure of Fe2PtI6Br2.

Cell lengths 7.1142, 7.1142, 9.9124 Å; angles 90.00, 90.00, 120.00 degrees
Space group P-3 (No. 147)
Asymmetric unit:
1 Fe 0.3333 0.6667 0.2524 (multiplicity 2)
2 Pt 0.0000 0.0000 0.5000 (multiplicity 1)
3 I 0.0028 0.3166 0.6661 (multiplicity 6)
4 Br 0.3333 0.6667 0.0217 (multiplicity 2)

Output
The value obtained for the formation energy without anion corrections is -0.192 eV/atom. As for the magnetic moment: 0.73 μB per atom. For the total energy, the calculation gives -3.43 eV/atom.

[4]
A plane-wave DFT calculation with PBE was carried out for a relaxed structure of MgAg6.

Cell lengths 7.454, 7.454, 7.454 Å; angles 90.00, 90.00, 90.00 degrees
Space group Im-3m (No. 229)
Asymmetric unit:
1 Mg 0.000 0.000 0.000 (multiplicity 2)
2 Ag 0.000 0.250 0.500 (multiplicity 12)

Output
As for the magnetic moment: 0.00 μB per atom. For the total energy, the calculation gives -1.97 eV/atom. The energy above the most stable polymorph in this dataset comes out at 508 kJ/mol of formula units. As for the energy of formation from the pure elements: 68 kJ/mol of atoms.